Entry 1:
The following is a PBE-GGA calculation of a relaxed Nb2Zn crystal, from the Alexandria database.

Output
D(E_F)   27.8 states/eV per cell
DFT total energy   -7.2186 eV/atom

Structure (extended XYZ):
```
30
Lattice="9.845 0.000 0.000 0.000 9.845 0.000 0.000 0.000 5.227" Properties=species:S:1:pos:R:3 pbc="T T T"
Nb 0.359 3.635 0.000
Nb 0.997 0.997 0.000
Nb 1.288 5.281 2.614
Nb 1.809 8.036 1.305
Nb 1.809 8.036 3.922
Nb 3.113 3.113 1.308
Nb 3.113 3.113 3.919
Nb 3.635 0.359 0.000
Nb 3.925 5.920 2.614
Nb 4.564 8.557 2.614
Nb 5.281 1.288 2.614
Nb 5.920 3.925 2.614
Nb 6.210 9.486 0.000
Nb 6.732 6.732 1.308
Nb 6.732 6.732 3.919
Nb 8.036 1.809 1.305
Nb 8.036 1.809 3.922
Nb 8.557 4.564 2.614
Nb 8.848 8.848 0.000
Nb 9.486 6.210 0.000
Zn 0.000 0.000 2.614
Zn 0.654 2.516 2.614
Zn 2.406 5.576 0.000
Zn 2.516 0.654 2.614
Zn 4.268 7.438 0.000
Zn 4.922 4.922 0.000
Zn 5.576 2.406 0.000
Zn 7.329 9.191 2.614
Zn 7.438 4.268 0.000
Zn 9.191 7.329 2.614
```

Entry 2:
The following is a PBE-GGA calculation of a relaxed NbZn4 crystal, from the Alexandria database.

Output
D(E_F)   4.4 states/eV per cell
DFT total energy   -3.0965 eV/atom

Structure (extended XYZ):
```
10
Lattice="-2.074 2.818 6.560 2.074 -2.818 6.560 2.074 2.818 -6.560" Properties=species:S:1:pos:R:3 pbc="T T T"
Nb 0.000 1.409 1.336
Nb 2.074 1.409 5.224
Zn 2.074 0.000 0.000
Zn 2.074 -1.409 5.098
Zn 2.074 0.046 2.612
Zn 0.000 0.046 3.948
Zn 0.000 0.000 6.560
Zn 2.074 2.772 2.612
Zn 0.000 2.772 3.948
Zn 0.000 4.227 1.461
```

Entry 3:
The following is a PBE-GGA calculation of a relaxed NbZn11 crystal, from the Alexandria database.

Output
D(E_F)   7.7 states/eV per cell
DFT total energy   -1.9105 eV/atom

Structure (extended XYZ):
```
24
Lattice="-5.164 5.164 3.384 5.164 -5.164 3.384 5.164 5.164 -3.384" Properties=species:S:1:pos:R:3 pbc="T T T"
Nb 5.164 2.582 0.846
Nb 0.000 2.582 2.538
Zn 0.000 0.000 0.000
Zn 2.582 2.582 -1.692
Zn 2.582 -2.582 1.692
Zn 3.930 -0.479 1.161
Zn 6.398 -0.479 1.161
Zn 5.164 -2.582 2.538
Zn 2.103 1.348 0.531
Zn 8.225 1.348 0.531
Zn 3.930 4.685 -1.161
Zn 1.234 -0.479 2.223
Zn 2.103 3.816 0.531
Zn 3.061 -1.348 3.915
Zn 0.000 5.164 0.000
Zn 2.103 6.512 -0.531
Zn 3.061 1.348 2.853
Zn 3.930 5.643 1.161
Zn 1.234 0.479 4.545
Zn -3.061 3.816 2.853
Zn 3.061 3.816 2.853
Zn 0.000 7.746 0.846
Zn -1.234 5.643 2.223
Zn 1.234 5.643 2.223
```

Entry 4:
The following is a PBE-GGA calculation of a relaxed NbZn crystal, from the Alexandria database.

Output
D(E_F)   5.1 states/eV per cell
DFT total energy   -5.4091 eV/atom

Structure (extended XYZ):
```
8
Lattice="0.000 3.912 5.083 3.517 0.000 5.083 3.517 3.912 0.000" Properties=species:S:1:pos:R:3 pbc="T T T"
Nb 2.638 0.355 3.812
Nb 4.396 2.312 6.354
Nb 2.638 5.513 3.812
Nb 4.396 7.469 6.354
Zn 3.818 2.934 3.812
Zn 5.576 4.891 6.354
Zn 1.458 2.934 3.812
Zn 3.216 4.891 6.354
```

Entry 5:
The following is a PBE-GGA calculation of a relaxed Nb5Zn crystal, from the Alexandria database.

Output
D(E_F)   6.1 states/eV per cell
DFT total energy   -8.6414 eV/atom

Structure (extended XYZ):
```
6
Lattice="3.375 0.000 0.000 0.000 3.375 0.000 0.000 0.000 9.291" Properties=species:S:1:pos:R:3 pbc="T T T"
Nb 0.000 0.000 0.000
Nb 0.000 0.000 3.180
Nb 0.000 0.000 6.111
Nb 1.687 1.687 1.636
Nb 1.687 1.687 7.655
Zn 1.687 1.687 4.646
```

Entry 6:
The following is a PBE-GGA calculation of a relaxed NbZn crystal, from the Alexandria database.

Output
D(E_F)   6.4 states/eV per cell
DFT total energy   -4.4553 eV/atom

Structure (extended XYZ):
```
8
Lattice="-4.205 4.205 4.205 4.205 -4.205 4.205 4.205 4.205 -4.205" Properties=species:S:1:pos:R:3 pbc="T T T"
Nb 0.929 0.929 -0.929
Nb 0.929 -0.929 0.929
Nb -0.929 0.929 0.929
Nb 3.276 3.276 3.276
Zn 2.539 2.539 -2.539
Zn 2.539 -2.539 2.539
Zn 1.666 1.666 1.666
Zn -2.539 2.539 2.539
```

Entry 7:
The following is a PBE-GGA calculation of a relaxed Nb5Zn crystal, from the Alexandria database.

Output
D(E_F)   7.9 states/eV per cell
DFT total energy   -8.3949 eV/atom

Structure (extended XYZ):
```
6
Lattice="2.870 0.000 0.000 -1.435 2.485 0.000 0.000 0.000 15.338" Properties=species:S:1:pos:R:3 pbc="T T T"
Nb 0.000 0.000 0.000
Nb 0.000 0.000 5.274
Nb 0.000 0.000 10.064
Nb 0.000 1.657 2.640
Nb 0.000 1.657 12.698
Zn 0.000 1.657 7.669
```

Entry 8:
The following is a PBE-GGA calculation of a relaxed Nb3Zn crystal, from the Alexandria database.

Output
D(E_F)   4.0 states/eV per cell
DFT total energy   -7.7570 eV/atom

Structure (extended XYZ):
```
4
Lattice="2.698 0.000 0.000 0.000 4.859 0.000 0.000 0.000 5.393" Properties=species:S:1:pos:R:3 pbc="T T T"
Nb 0.000 0.000 0.000
Nb 0.000 2.430 1.564
Nb 1.349 2.430 4.221
Zn 1.349 0.000 2.656
```

Entry 9:
The following is a PBE-GGA calculation of a relaxed NbZn4 crystal, from the Alexandria database.

Output
D(E_F)   4.0 states/eV per cell
DFT total energy   -1.9335 eV/atom

Structure (extended XYZ):
```
5
Lattice="5.247 0.000 0.000 0.000 5.247 0.000 0.000 0.000 5.247" Properties=species:S:1:pos:R:3 pbc="T T T"
Nb 0.000 0.000 0.000
Zn 0.000 0.000 2.624
Zn 0.000 2.624 0.000
Zn 2.624 0.000 0.000
Zn 2.624 2.624 2.624
```

Entry 10:
The following is a PBE-GGA calculation of a relaxed NbZn crystal, from the Alexandria database.

Output
D(E_F)   5.0 states/eV per cell
DFT total energy   -5.5163 eV/atom

Structure (extended XYZ):
```
8
Lattice="-4.794 4.794 1.474 4.794 -4.794 1.474 4.794 4.794 -1.474" Properties=species:S:1:pos:R:3 pbc="T T T"
Nb 1.508 1.508 0.000
Nb 3.286 -3.286 1.474
Nb -3.286 3.286 1.474
Nb 3.286 3.286 1.474
Zn 4.794 1.503 0.000
Zn 1.503 4.794 0.000
Zn 3.291 0.000 1.474
Zn 0.000 3.291 1.474
```

Entry 11:
The following is a PBE-GGA calculation of a relaxed NbZn2 crystal, from the Alexandria database.

Output
D(E_F)   1.5 states/eV per cell
DFT total energy   -4.2905 eV/atom

Structure (extended XYZ):
```
3
Lattice="-1.447 1.447 5.604 1.447 -1.447 5.604 1.447 1.447 -5.604" Properties=species:S:1:pos:R:3 pbc="T T T"
Nb 0.000 0.000 0.000
Zn 0.000 0.000 3.649
Zn 0.000 0.000 7.558
```

Entry 12:
The following is a PBE-GGA calculation of a relaxed Nb3Zn crystal, from the Alexandria database.

Output
D(E_F)   4.2 states/eV per cell
DFT total energy   -7.7840 eV/atom

Structure (extended XYZ):
```
4
Lattice="0.000 3.271 3.271 3.271 0.000 3.271 3.271 3.271 0.000" Properties=species:S:1:pos:R:3 pbc="T T T"
Nb 0.000 0.000 0.000
Nb 1.636 1.636 1.636
Nb 4.907 4.907 4.907
Zn 3.271 3.271 3.271
```

Entry 13:
The following is a PBE-GGA calculation of a relaxed Zr3NbZn crystal, from the Alexandria database.

Output
D(E_F)   8.8 states/eV per cell
DFT total energy   -6.4589 eV/atom

Structure (extended XYZ):
```
5
Lattice="5.100 0.000 0.000 0.000 5.100 0.000 0.000 0.000 5.100" Properties=species:S:1:pos:R:3 pbc="T T T"
Zr 0.000 0.000 2.550
Zr 0.000 2.550 0.000
Zr 2.550 0.000 0.000
Nb 0.000 0.000 0.000
Zn 2.550 2.550 2.550
```

Entry 14:
The following is a PBE-GGA calculation of a relaxed ZrNb3Zn crystal, from the Alexandria database.

Output
D(E_F)   7.7 states/eV per cell
DFT total energy   -6.9963 eV/atom

Structure (extended XYZ):
```
5
Lattice="4.762 0.000 0.000 0.000 4.762 0.000 0.000 0.000 4.762" Properties=species:S:1:pos:R:3 pbc="T T T"
Zr 0.000 0.000 0.000
Nb 0.000 2.381 2.381
Nb 2.381 0.000 2.381
Nb 2.381 2.381 0.000
Zn 2.381 2.381 2.381
```

Entry 15:
The following is a PBE-GGA calculation of a relaxed Zr3NbZn crystal, from the Alexandria database.

Output
D(E_F)   12.5 states/eV per cell
DFT total energy   -7.4439 eV/atom

Structure (extended XYZ):
```
10
Lattice="5.650 0.000 0.000 0.000 4.875 0.000 -1.931 0.000 7.416" Properties=species:S:1:pos:R:3 pbc="T T T"
Zr 0.881 1.219 0.374
Zr 0.043 3.656 5.501
Zr 0.880 1.219 3.467
Zr 2.838 3.656 3.949
Zr 3.675 1.219 1.915
Zr 2.838 3.656 7.042
Nb 2.227 3.656 1.080
Nb 1.491 1.219 6.336
Zn -0.234 3.656 2.432
Zn 3.952 1.219 4.984
```

Entry 16:
The following is a PBE-GGA calculation of a relaxed Zr2NbZn crystal, from the Alexandria database.

Output
D(E_F)   4.7 states/eV per cell
DFT total energy   -7.1824 eV/atom

Structure (extended XYZ):
```
4
Lattice="4.495 0.000 0.000 0.000 4.495 0.000 0.000 0.000 3.862" Properties=species:S:1:pos:R:3 pbc="T T T"
Zr 0.000 2.248 0.000
Zr 2.248 0.000 0.000
Nb 0.000 0.000 1.931
Zn 2.248 2.248 1.931
```

Entry 17:
The following is a PBE-GGA calculation of a relaxed ZrNb3Zn crystal, from the Alexandria database.

Output
D(E_F)   6.1 states/eV per cell
DFT total energy   -6.3603 eV/atom

Structure (extended XYZ):
```
5
Lattice="4.907 0.000 0.000 0.000 4.907 0.000 0.000 0.000 4.907" Properties=species:S:1:pos:R:3 pbc="T T T"
Zr 0.000 0.000 0.000
Nb 0.000 0.000 2.453
Nb 0.000 2.453 0.000
Nb 2.453 0.000 0.000
Zn 2.453 2.453 2.453
```

Entry 18:
The following is a PBE-GGA calculation of a relaxed ZrNbZn crystal, from the Alexandria database.

Output
D(E_F)   2.9 states/eV per cell
DFT total energy   -6.6720 eV/atom

Structure (extended XYZ):
```
3
Lattice="-1.461 1.461 6.511 1.461 -1.461 6.511 1.461 1.461 -6.511" Properties=species:S:1:pos:R:3 pbc="T T T"
Zr 0.000 0.000 0.000
Nb 0.000 0.000 4.114
Zn 0.000 0.000 8.656
```

Entry 19:
The following is a PBE-GGA calculation of a relaxed Zr2NbZn2 crystal, from the Alexandria database.

Output
D(E_F)   10.2 states/eV per cell
DFT total energy   -5.7648 eV/atom

Structure (extended XYZ):
```
10
Lattice="7.907 0.000 0.000 0.000 7.907 0.000 0.000 0.000 3.083" Properties=species:S:1:pos:R:3 pbc="T T T"
Zr 1.152 2.802 0.000
Zr 2.802 6.756 0.000
Zr 5.106 1.152 0.000
Zr 6.756 5.106 0.000
Nb 0.000 0.000 0.000
Nb 3.954 3.954 0.000
Zn 1.234 5.188 1.542
Zn 2.720 1.234 1.542
Zn 5.188 6.673 1.542
Zn 6.673 2.720 1.542
```

Entry 20:
The following is a PBE-GGA calculation of a relaxed Zr2Nb2Zn crystal, from the Alexandria database.

Output
D(E_F)   4.7 states/eV per cell
DFT total energy   -7.5771 eV/atom

Structure (extended XYZ):
```
10
Lattice="7.127 0.000 0.000 0.000 7.127 0.000 0.000 0.000 4.011" Properties=species:S:1:pos:R:3 pbc="T T T"
Zr 1.218 2.346 0.000
Zr 2.346 5.909 0.000
Zr 4.781 1.218 0.000
Zr 5.909 4.781 0.000
Nb 0.946 4.509 2.006
Nb 2.617 0.946 2.006
Nb 4.509 6.181 2.006
Nb 6.181 2.617 2.006
Zn 0.000 0.000 2.006
Zn 3.563 3.563 2.006
```